No. 1
# PBEsol MgBe2ReAs, relaxed
data_MgBe2ReAs
_space_group_name_H-M_alt 'P 4/m m m'
_space_group_IT_number 123
_space_group_name_Hall '-P 4 2'
_cell_length_a 4.207
_cell_length_b 4.207
_cell_length_c 4.626
_cell_angle_alpha 90.00
_cell_angle_beta 90.00
_cell_angle_gamma 90.00
loop_
_atom_site_label
_atom_site_type_symbol
_atom_site_fract_x
_atom_site_fract_y
_atom_site_fract_z
Mg1 Mg 0.000 0.000 0.000
Be1 Be 0.000 0.500 0.500
Re1 Re 0.500 0.500 0.000
As1 As 0.500 0.500 0.500
# Energy of formation, eV/atom: 1.02

=====

No. 2
# PBEsol CoGe2SN, relaxed
data_CoGe2SN
_space_group_name_H-M_alt 'P 4/m m m'
_space_group_IT_number 123
_space_group_name_Hall '-P 4 2'
_cell_length_a 4.925
_cell_length_b 4.925
_cell_length_c 3.920
_cell_angle_alpha 90.00
_cell_angle_beta 90.00
_cell_angle_gamma 90.00
loop_
_atom_site_label
_atom_site_type_symbol
_atom_site_fract_x
_atom_site_fract_y
_atom_site_fract_z
Co1 Co 0.000 0.000 0.000
Ge1 Ge 0.000 0.500 0.500
S1 S 0.000 0.000 0.500
N1 N 0.500 0.500 0.000
# Raw formation energy, kJ/mol of atoms: 138.5

=====

No. 3
# PBEsol ZnInIr2, relaxed
data_ZnInIr2
_space_group_name_H-M_alt 'F -4 3 m'
_space_group_IT_number 216
_space_group_name_Hall 'F -4 2 3'
_cell_length_a 6.275
_cell_length_b 6.275
_cell_length_c 6.275
_cell_angle_alpha 90.00
_cell_angle_beta 90.00
_cell_angle_gamma 90.00
loop_
_atom_site_label
_atom_site_type_symbol
_atom_site_fract_x
_atom_site_fract_y
_atom_site_fract_z
Zn1 Zn 0.000 0.000 0.000
In1 In 0.250 0.250 0.250
Ir1 Ir 0.000 0.000 0.500
Ir2 Ir 0.250 0.250 0.750
# Energy of formation, eV/atom: 0.21

=====

No. 4
# PBEsol LaZn3P3, relaxed
data_LaZn3P3
_space_group_name_H-M_alt 'P 63/m m c'
_space_group_IT_number 194
_space_group_name_Hall '-P 6c 2c'
_cell_length_a 4.0194
_cell_length_b 4.0194
_cell_length_c 19.8431
_cell_angle_alpha 90.00
_cell_angle_beta 90.00
_cell_angle_gamma 120.00
loop_
_atom_site_label
_atom_site_type_symbol
_atom_site_fract_x
_atom_site_fract_y
_atom_site_fract_z
La1 La 0.0000 0.0000 0.0000
Zn1 Zn 0.3333 0.6667 0.1299
Zn2 Zn 0.3333 0.6667 0.7500
P1 P 0.3333 0.6667 0.2500
P2 P 0.3333 0.6667 0.5896
# Energy of formation, eV/atom: -0.60

=====

No. 5
# PBEsol LiSb2Pt, relaxed
data_LiSb2Pt
_space_group_name_H-M_alt 'R -3 m'
_space_group_IT_number 166
_space_group_name_Hall '-R 3 2"'
_cell_length_a 4.0021
_cell_length_b 4.0021
_cell_length_c 19.6535
_cell_angle_alpha 90.00
_cell_angle_beta 90.00
_cell_angle_gamma 120.00
loop_
_atom_site_label
_atom_site_type_symbol
_atom_site_fract_x
_atom_site_fract_y
_atom_site_fract_z
Li1 Li 0.0000 0.0000 0.0000
Sb1 Sb 0.0000 0.0000 0.2349
Pt1 Pt 0.0000 0.0000 0.5000
# Raw formation energy, kJ/mol of atoms: -36.9

=====

No. 6
# PBEsol TaBe2Fe, relaxed
data_TaBe2Fe
_space_group_name_H-M_alt 'R 3 m'
_space_group_IT_number 160
_space_group_name_Hall 'R 3 -2"'
_cell_length_a 2.6335
_cell_length_b 2.6335
_cell_length_c 24.3316
_cell_angle_alpha 90.00
_cell_angle_beta 90.00
_cell_angle_gamma 120.00
loop_
_atom_site_label
_atom_site_type_symbol
_atom_site_fract_x
_atom_site_fract_y
_atom_site_fract_z
Ta1 Ta 0.0000 0.0000 0.0000
Be1 Be 0.0000 0.0000 0.4982
Be2 Be 0.0000 0.0000 0.7576
Fe1 Fe 0.0000 0.0000 0.2391
# Relative energy among the computed polymorphs, meV/atom: 430
# Energy of formation, eV/atom: 0.39

=====

no.,V (Å³ per atom)
1,16.4
2,19.0
3,15.4
4,19.8
5,22.7
6,12.2